Entry from Alexandria via LeMat-Bulk: a relaxed Pm2Zn3Pb crystal (PBE-GGA).

a b c (Å): 3.7620 4.6213 8.1224
angles (deg): 90.00 90.00 90.00
Atoms (fractional coordinates):
Pm: 0.0000 0.5000 0.9876
Pm: 0.0000 0.0000 0.5191
Zn: 0.5000 0.0000 0.8297
Zn: 0.5000 0.0000 0.1419
Zn: 0.5000 0.5000 0.6862
Pb: 0.5000 0.5000 0.3355

Entry from Alexandria via LeMat-Bulk: a relaxed SrSc2MnBi crystal (PBE-GGA).

a b c (Å): 4.9497 5.6197 4.9497
angles (deg): 90.00 90.00 90.00
Last column: magnetic moment on the atom in μB.
Atoms (fractional coordinates):
Sc: 0.0000 0.0000 0.5000  -0.26
Sc: 0.5000 0.0000 0.0000  -0.19
Sr: 0.0000 0.5000 0.0000  -0.01
Mn: 0.0000 0.0000 0.0000  1.87
Bi: 0.5000 0.5000 0.5000  0.05

Entry from Alexandria via LeMat-Bulk: a relaxed HoPa2PbO8 crystal (PBE-GGA).

a b c (Å): 5.4484 5.4484 6.6555
angles (deg): 114.16 114.16 90.00
Atoms (fractional coordinates):
Ho: 0.0000 0.0000 0.0000
Pa: 0.5000 0.5000 0.0000
Pa: 0.2500 0.7500 0.5000
Pb: 0.7500 0.2500 0.5000
O: 0.8779 0.8577 0.2451
O: 0.3673 0.3874 0.2451
O: 0.6122 0.6329 0.7547
O: 0.1425 0.1218 0.7547
O: 0.8782 0.3878 0.2453
O: 0.3671 0.8575 0.2453
O: 0.1423 0.6327 0.7549
O: 0.6126 0.1221 0.7549

## Properties
formation energy without anion corrections	-3.084	eV per atom

Entry from Alexandria via LeMat-Bulk: a relaxed AlPt2RhBr crystal (PBE-GGA).

a b c (Å): 4.9185 4.9185 4.7021
angles (deg): 90.00 90.00 90.00
Last column: magnetic moment on the atom in μB.
Atoms (fractional coordinates):
Rh: 0.0000 0.0000 0.0000  0.52
Br: 0.5000 0.5000 0.5000  -0.01
Pt: 0.0000 0.5000 0.0000  0.35
Pt: 0.5000 0.0000 0.0000  0.35
Al: 0.0000 0.0000 0.5000  0.01

## Properties
formation energy without anion corrections	0.818	eV per atom

Entry from Alexandria via LeMat-Bulk: a relaxed Zn2CoIr crystal (PBE-GGA).

a b c (Å): 2.7367 2.7367 8.4517
angles (deg): 80.68 80.68 60.00
Last column: magnetic moment on the atom in μB.
Atoms (fractional coordinates):
Zn: 0.0864 0.0864 0.7407  -0.02
Zn: 0.2470 0.2470 0.2590  -0.02
Co: 0.4999 0.4999 0.5002  1.40
Ir: 0.6666 0.6666 0.0000  0.00

Entry from Alexandria via LeMat-Bulk: a relaxed ThSnSe3 crystal (PBE-GGA).

a b c (Å): 4.0721 7.5982 9.8189
angles (deg): 81.62 89.98 105.53
Atoms (fractional coordinates):
Th: 0.4008 0.8345 0.2840
Th: 0.6432 0.3196 0.1376
Sn: 0.1853 0.4032 0.6143
Sn: 0.8586 0.7509 0.8074
Se: 0.0476 0.1286 0.3608
Se: 0.3788 0.7910 0.6012
Se: 0.6651 0.3631 0.8204
Se: 0.9964 0.0255 0.0607
Se: 0.2855 0.6042 0.0537
Se: 0.7585 0.5499 0.3678

## Properties
formation energy without anion corrections	-1.124	eV per atom

Entry from Alexandria via LeMat-Bulk: a relaxed LuPu2Sc crystal (PBE-GGA).

a b c (Å): 3.3158 3.3158 11.1785
angles (deg): 81.47 81.47 60.00
Last column: magnetic moment on the atom in μB.
Atoms (fractional coordinates):
Sc: 0.0000 0.0000 0.0000  0.00
Lu: 0.5000 0.5000 0.5000  -0.05
Pu: 0.7480 0.7480 0.7559  -5.37
Pu: 0.2520 0.2520 0.2441  -5.37

Entry from Alexandria via LeMat-Bulk: a relaxed Tb8Ge2C3 crystal (PBE-GGA).

a b c (Å): 6.4275 7.2998 8.0364
angles (deg): 117.01 105.89 90.00
Atoms (fractional coordinates):
Tb: 0.9358 0.6066 0.2132
Tb: 0.0642 0.3934 0.7868
Tb: 0.9044 0.0991 0.1982
Tb: 0.0956 0.9009 0.8018
Tb: 0.6041 0.6613 0.7995
Tb: 0.6041 0.1383 0.7995
Tb: 0.3959 0.8617 0.2005
Tb: 0.3959 0.3387 0.2005
Ge: 0.3252 0.2554 0.5108
Ge: 0.6748 0.7446 0.4892
C: 0.5000 0.0000 0.0000
C: 0.0000 0.2570 0.0000
C: 0.0000 0.7430 0.0000

no.,total DFT energy (no corrections) (eV/cell)
1,-19.3
2,-26.6
3,-104.0
4,-20.8
5,-18.7
6,-55.0
7,-38.9
8,-78.8